[1]
Sm4Cd | GGA-PBE | optimized geometry

Structure (POSCAR):
```
Sm4Cd
1.0
-3.546 -5.655 -1.754
1.123 -5.512 2.442
-7.732 -1.129 5.695
Cd Sm
2 8
direct
0.940 0.750 0.120
0.060 0.250 0.880
0.602 0.373 0.163
0.551 0.739 0.423
0.025 0.761 0.423
0.975 0.239 0.577
0.765 0.873 0.837
0.398 0.627 0.837
0.235 0.127 0.163
0.449 0.261 0.577
```

space-group type	C2/c (15)
E above lowest polymorph	137	meV per atom
energy relative to the elements	0.1	eV/f.u.

=====

[2]
ThVReSi2 | GGA-PBE | optimized geometry

Structure (POSCAR):
```
ThVReSi2
1.0
4.040 0.000 0.000
0.000 4.040 0.000
-2.020 -2.020 5.430
Th Si Re V
1 2 1 1
direct
0.000 0.000 0.000
0.617 0.617 0.233
0.383 0.383 0.767
0.250 0.750 0.500
0.750 0.250 0.500
```

space-group type	I-4m2 (119)
formation energy from raw total energies	-0.566	eV/atom

=====

[3]
La5NdHo6 | GGA-PBE | optimized geometry

Structure (POSCAR):
```
La5NdHo6
1.0
5.014 0.021 -1.464
-1.365 8.743 -4.552
0.075 -0.656 9.593
La Ho Nd
5 6 1
direct
0.333 0.333 0.666
0.666 0.166 0.332
0.667 0.667 0.334
0.334 0.834 0.668
0.000 0.500 0.000
0.834 0.584 0.668
0.166 0.917 0.332
0.834 0.083 0.668
0.166 0.416 0.332
0.500 0.751 0.000
0.500 0.249 0.000
0.000 0.000 0.000
```

space-group type	C2/m (12)
energy relative to the elements	0.3	eV/f.u.

=====

[4]
BaMg2Cl | GGA-PBE | optimized geometry

Structure (POSCAR):
```
BaMg2Cl
1.0
3.641 0.000 0.000
0.000 3.641 0.000
0.000 0.000 9.360
Mg Cl Ba
2 1 1
direct
0.000 0.000 0.543
0.000 0.000 0.957
0.500 0.500 0.750
0.500 0.500 0.250
```

space-group type	P4/mmm (123)
formation energy from raw total energies	-0.374	eV/atom
E above lowest polymorph	295	meV per atom

=====

[5]
HgTeRh | GGA-PBE | optimized geometry

Structure (POSCAR):
```
HgTeRh
1.0
6.561 0.642 1.548
5.153 0.019 4.394
1.120 -3.034 -0.109
Rh Hg Te
1 1 1
direct
0.683 0.683 0.317
0.022 0.022 0.978
0.295 0.295 0.705
```

space-group type	I4mm (107)
formation energy from raw total energies	-0.001	eV/atom
E above lowest polymorph	131	meV per atom

=====

[6]
ErHgPtAu | GGA-PBE | optimized geometry

Structure (POSCAR):
```
ErHgPtAu
1.0
-0.264 -3.929 2.847
0.808 -4.413 -1.868
4.043 -2.430 1.168
Hg Au Pt Er
1 1 1 1
direct
0.000 0.000 0.000
0.250 0.250 0.250
0.750 0.750 0.750
0.500 0.500 0.500
```

space-group type	F-43m (216)
energy relative to the elements	-2.6	eV/f.u.

=====

[7]
YNiAs3 | GGA-PBE | optimized geometry

Structure (POSCAR):
```
YNiAs3
1.0
-4.425 1.734 2.459
1.441 -2.618 4.439
2.642 4.333 1.698
Ni As Y
1 3 1
direct
0.500 0.500 0.500
0.000 0.500 0.000
0.000 0.000 0.500
0.500 0.000 0.000
0.000 0.000 0.000
```

space-group type	Pm-3m (221)
E above lowest polymorph	1194	meV per atom
energy relative to the elements	4.8	eV/f.u.

=====

[8]
ZnGa2Rh | GGA-PBE | optimized geometry

Structure (POSCAR):
```
ZnGa2Rh
1.0
-3.398 6.689 -1.621
-5.721 -3.750 -3.481
-5.814 1.360 -0.373
Rh Ga Zn
2 4 2
direct
0.000 0.000 0.000
0.750 0.250 0.500
0.058 0.625 0.250
0.875 0.942 0.750
0.692 0.125 0.250
0.375 0.308 0.750
0.500 0.500 0.000
0.250 0.750 0.500
```

space-group type	I-42d (122)
energy relative to the elements	-0.2	eV/f.u.